ZnW2O4: optimized geometry, PBE+U.

Output
Distance to the lowest polymorph of the same formula (meV/atom): 215
SG: No. 62
Volume (Å³/f.u.): 85.78
Density (g/cm3): 9.6
Total energy (eV per cell): -180.616

Cell lengths 3.2236, 9.7111, 10.9603 Å; angles 90.00, 90.00, 90.00 degrees
With the nearest neighbours (Å) after each atom.
Element x y z (fractional)
Zn  0.2500  0.7420  0.3473  3 O 2.11-2.36
Zn  0.7500  0.2580  0.6527  3 O 2.11-2.36
Zn  0.2500  0.2420  0.1527  3 O 2.11-2.36
Zn  0.7500  0.7580  0.8473  3 O 2.11-2.36
W  0.7500  0.8886  0.0966  6 O 2.12-2.26
W  0.2500  0.6114  0.5966  6 O 2.12-2.26
W  0.7500  0.3886  0.4034  6 O 2.12-2.26
W  0.2500  0.1114  0.9034  6 O 2.12-2.26
W  0.2500  0.0423  0.3755  6 O 2.14-2.22
W  0.7500  0.9577  0.6245  6 O 2.14-2.22
W  0.2500  0.5423  0.1245  6 O 2.14-2.22
W  0.7500  0.4577  0.8755  6 O 2.14-2.22
O  0.7500  0.3991  0.0679  3 W 2.18-2.22, 2 Zn 2.41
O  0.2500  0.6009  0.9321  3 W 2.18-2.22, 2 Zn 2.41
O  0.7500  0.8991  0.4321  3 W 2.18-2.22, 2 Zn 2.41
O  0.2500  0.1009  0.5679  3 W 2.18-2.22, 2 Zn 2.41
O  0.7500  0.5936  0.7215  1 Zn 2.11, 3 W 2.12-2.14
O  0.2500  0.4064  0.2785  1 Zn 2.11, 3 W 2.12-2.14
O  0.7500  0.0936  0.7785  1 Zn 2.11, 3 W 2.12-2.14
O  0.2500  0.9064  0.2215  1 Zn 2.11, 3 W 2.12-2.14
O  0.7500  0.1104  0.0476  3 W 2.22-2.26, 2 Zn 2.36
O  0.2500  0.8896  0.9524  3 W 2.22-2.26, 2 Zn 2.36
O  0.7500  0.6104  0.4524  3 W 2.22-2.26, 2 Zn 2.36
O  0.2500  0.3896  0.5476  3 W 2.22-2.26, 2 Zn 2.36
O  0.2500  0.3191  0.8264  3 W 2.17-2.19
O  0.7500  0.6809  0.1736  3 W 2.17-2.19
O  0.7500  0.1809  0.3264  3 W 2.17-2.19
O  0.2500  0.8191  0.6736  3 W 2.17-2.19